Here is a relaxed Ac2NpMnO6 crystal from Alexandria. Energies are from PBE with a Hubbard U.

Results
* D(E_F): 22.35 states/eV per cell
* total DFT energy (no corrections): -8.7241 eV per atom

a = 5.968 Å, b = 6.138 Å, c = 10.395 Å
α = 90.00°, β = 124.57°, γ = 90.00°
Space group P2_1/c (No. 14)
Symmetry-distinct sites (fractional):
Ac1 0.236 0.050 0.249 (multiplicity 4)
Np1 0.500 0.000 0.000 (multiplicity 2)
Mn1 0.000 0.000 0.500 (multiplicity 2)
O1 0.146 0.199 0.945 (multiplicity 4)
O2 0.239 0.702 0.940 (multiplicity 4)
O3 0.358 0.042 0.750 (multiplicity 4)

Here is a relaxed Ac2NpMnO8 crystal from Alexandria. Energies are from PBE with a Hubbard U.

Results
* total DFT energy (no corrections): -8.3922 eV per atom

a = 4.494 Å, b = 5.512 Å, c = 7.806 Å
α = 81.71°, β = 86.54°, γ = 81.13°
Space group P-1 (No. 2)
Symmetry-distinct sites (fractional):
Ac1 0.039 0.052 0.237 (multiplicity 2)
Np1 0.500 0.500 0.500 (multiplicity 1)
Mn1 0.500 0.500 0.000 (multiplicity 1)
O1 0.105 0.710 0.509 (multiplicity 2)
O2 0.173 0.751 0.035 (multiplicity 2)
O3 0.406 0.222 0.663 (multiplicity 2)
O4 0.463 0.336 0.245 (multiplicity 2)

Here is a relaxed AcMnO3 crystal from Alexandria. Energies are from PBE with a Hubbard U.

Results
* D(E_F): 0.48 states/eV per cell
* total DFT energy (no corrections): -7.8500 eV per atom

a = 4.007 Å, b = 4.007 Å, c = 4.007 Å
α = 90.00°, β = 90.00°, γ = 90.00°
Space group Pm-3m (No. 221)
Symmetry-distinct sites (fractional):
Ac1 0.000 0.000 0.000 (multiplicity 1)
Mn1 0.500 0.500 0.500 (multiplicity 1)
O1 0.000 0.500 0.500 (multiplicity 3)

Here is a relaxed AcMnO4 crystal from Alexandria. Energies are from PBE with a Hubbard U.

Results
* offset from the most stable computed form: 0.949 eV/f.u.

a = 5.226 Å, b = 5.226 Å, c = 6.569 Å
α = 90.00°, β = 90.00°, γ = 90.00°
Space group P4_2/nmc (No. 137, origin choice 2)
Symmetry-distinct sites (fractional):
Ac1 0.250 0.750 0.250 (multiplicity 2)
Mn1 0.250 0.750 0.750 (multiplicity 2)
O1 0.010 0.250 0.094 (multiplicity 8)

Here is a relaxed AcMnO4 crystal from Alexandria. Energies are from PBE with a Hubbard U.

Results
* offset from the most stable computed form: 0.000 eV/f.u.

a = 7.669 Å, b = 7.669 Å, c = 6.696 Å
α = 90.00°, β = 90.00°, γ = 90.00°
Space group I4_1/amd (No. 141, origin choice 2)
Symmetry-distinct sites (fractional):
Ac1 0.000 0.250 0.375 (multiplicity 4)
Mn1 0.000 0.250 0.875 (multiplicity 4)
O1 0.000 0.077 0.711 (multiplicity 16)

Here is a relaxed Ac2MnO4 crystal from Alexandria. Energies are from PBE with a Hubbard U.

Results
* D(E_F): 1.41 states/eV per cell
* total DFT energy (no corrections): -7.8306 eV per atom

a = 4.073 Å, b = 4.073 Å, c = 13.253 Å
α = 90.00°, β = 90.00°, γ = 90.00°
Space group I4/mmm (No. 139)
Symmetry-distinct sites (fractional):
Ac1 0.000 0.000 0.138 (multiplicity 4)
Mn1 0.000 0.000 0.500 (multiplicity 2)
O1 0.000 0.000 0.320 (multiplicity 4)
O2 0.000 0.500 0.000 (multiplicity 4)

Here is a relaxed AcMn2O4 crystal from Alexandria. Energies are from PBE with a Hubbard U.

Results
* total DFT energy (no corrections): -7.7621 eV per atom

a = 9.936 Å, b = 7.069 Å, c = 7.643 Å
α = 90.00°, β = 130.53°, γ = 90.00°
Space group C2 (No. 5)
Symmetry-distinct sites (fractional):
Ac1 0.000 0.000 0.000 (multiplicity 2)
Ac2 0.000 0.247 0.500 (multiplicity 2)
Mn1 0.017 0.665 0.314 (multiplicity 4)
Mn2 0.203 0.411 0.195 (multiplicity 4)
O1 0.002 0.368 0.183 (multiplicity 4)
O2 0.081 0.954 0.755 (multiplicity 4)
O3 0.182 0.684 0.233 (multiplicity 4)
O4 0.201 0.642 0.687 (multiplicity 4)

Here is a relaxed Ac3MnO6 crystal from Alexandria. Energies are from PBE with a Hubbard U.

Results
* total DFT energy (no corrections): -7.8379 eV per atom

a = 9.902 Å, b = 12.232 Å, c = 5.910 Å
α = 90.00°, β = 90.00°, γ = 90.00°
Space group Cmc2_1 (No. 36)
Symmetry-distinct sites (fractional):
Ac1 0.000 0.106 0.000 (multiplicity 4)
Ac2 0.199 0.388 0.033 (multiplicity 8)
Mn1 0.000 0.319 0.570 (multiplicity 4)
O1 0.000 0.285 0.249 (multiplicity 4)
O2 0.000 0.446 0.749 (multiplicity 4)
O3 0.153 0.247 0.725 (multiplicity 8)
O4 0.157 0.010 0.270 (multiplicity 8)

Here is a relaxed Ac6MnO12 crystal from Alexandria. Energies are from PBE with a Hubbard U.

Results
* D(E_F): 57.82 states/eV per cell
* total DFT energy (no corrections): -7.6089 eV per atom

a = 10.6720 Å, b = 10.6720 Å, c = 10.1839 Å
α = 90.00°, β = 90.00°, γ = 120.00°
Space group R-3 (No. 148, hexagonal axes)
Symmetry-distinct sites (fractional):
Ac1 0.0536 0.2579 0.1558 (multiplicity 18)
Mn1 0.0000 0.0000 0.5000 (multiplicity 3)
O1 0.0413 0.1771 0.3978 (multiplicity 18)
O2 0.0416 0.2304 0.9076 (multiplicity 18)

Here is a relaxed AcMn2O6 crystal from Alexandria. Energies are from PBE with a Hubbard U.

Results
* D(E_F): 5.93 states/eV per cell
* total DFT energy (no corrections): -7.2878 eV per atom

a = 5.0574 Å, b = 5.0574 Å, c = 5.3697 Å
α = 90.00°, β = 90.00°, γ = 120.00°
Space group P-31m (No. 162)
Symmetry-distinct sites (fractional):
Ac1 0.0000 0.0000 0.0000 (multiplicity 1)
Mn1 0.3333 0.6667 0.5000 (multiplicity 2)
O1 0.0000 0.3824 0.7020 (multiplicity 6)

Here is a relaxed AcMn4O8 crystal from Alexandria. Energies are from PBE with a Hubbard U.

Results
* D(E_F): 8.72 states/eV per cell
* total DFT energy (no corrections): -7.5218 eV per atom

a = 11.040 Å, b = 5.799 Å, c = 7.701 Å
α = 90.00°, β = 128.80°, γ = 90.00°
Space group C2/m (No. 12)
Symmetry-distinct sites (fractional):
Ac1 0.000 0.000 0.000 (multiplicity 2)
Mn1 0.000 0.252 0.500 (multiplicity 4)
Mn2 0.234 0.500 0.474 (multiplicity 4)
O1 0.006 0.500 0.335 (multiplicity 4)
O2 0.013 0.000 0.341 (multiplicity 4)
O3 0.229 0.238 0.312 (multiplicity 8)

Here is a relaxed Ac3Mn5O12 crystal from Alexandria. Energies are from PBE with a Hubbard U.

Results
* D(E_F): 70.76 states/eV per cell
* total DFT energy (no corrections): -7.6742 eV per atom

a = 13.136 Å, b = 13.136 Å, c = 13.136 Å
α = 90.00°, β = 90.00°, γ = 90.00°
Space group Ia-3d (No. 230)
Symmetry-distinct sites (fractional):
Ac1 0.000 0.250 0.125 (multiplicity 24)
Mn1 0.000 0.000 0.000 (multiplicity 16)
Mn2 0.000 0.250 0.375 (multiplicity 24)
O1 0.028 0.048 0.643 (multiplicity 96)

Here is a relaxed AcMnO crystal from Alexandria. Energies are from PBE with a Hubbard U.

Results
* D(E_F): 16.25 states/eV per cell
* total DFT energy (no corrections): -6.8723 eV per atom

a = 7.908 Å, b = 17.362 Å, c = 5.773 Å
α = 90.00°, β = 90.00°, γ = 90.00°
Space group Ima2 (No. 46)
Symmetry-distinct sites (fractional):
Ac1 0.250 0.013 0.000 (multiplicity 4)
Ac2 0.250 0.186 0.518 (multiplicity 4)
Ac3 0.250 0.678 0.003 (multiplicity 4)
Mn1 0.000 0.000 0.498 (multiplicity 4)
Mn2 0.022 0.657 0.504 (multiplicity 8)
O1 0.013 0.749 0.755 (multiplicity 8)
O2 0.250 0.163 0.980 (multiplicity 4)

Here is a relaxed Ac4Mn3O10 crystal from Alexandria. Energies are from PBE with a Hubbard U.

Results
* D(E_F): 4.72 states/eV per cell
* total DFT energy (no corrections): -7.8626 eV per atom

a = 4.024 Å, b = 4.024 Å, c = 29.502 Å
α = 90.00°, β = 90.00°, γ = 90.00°
Space group I4/mmm (No. 139)
Symmetry-distinct sites (fractional):
Ac1 0.000 0.000 0.067 (multiplicity 4)
Ac2 0.000 0.000 0.199 (multiplicity 4)
Mn1 0.000 0.000 0.362 (multiplicity 4)
Mn2 0.000 0.000 0.500 (multiplicity 2)
O1 0.000 0.000 0.283 (multiplicity 4)
O2 0.000 0.000 0.433 (multiplicity 4)
O3 0.000 0.500 0.000 (multiplicity 4)
O4 0.000 0.500 0.140 (multiplicity 8)

Here is a relaxed AcMnO6 crystal from Alexandria. Energies are from PBE with a Hubbard U.

Results
* D(E_F): 53.23 states/eV per cell
* total DFT energy (no corrections): -6.0034 eV per atom

a = 8.649 Å, b = 8.649 Å, c = 8.649 Å
α = 90.00°, β = 90.00°, γ = 90.00°
Space group Fm-3m (No. 225)
Symmetry-distinct sites (fractional):
Ac1 0.000 0.000 0.000 (multiplicity 4)
Mn1 0.000 0.000 0.500 (multiplicity 4)
O1 0.000 0.000 0.287 (multiplicity 24)

Here is a relaxed Ac2MnO5 crystal from Alexandria. Energies are from PBE with a Hubbard U.

Results
* total DFT energy (no corrections): -7.7205 eV per atom

a = 7.176 Å, b = 5.532 Å, c = 11.240 Å
α = 90.00°, β = 90.00°, γ = 90.00°
Space group Pnma (No. 62)
Symmetry-distinct sites (fractional):
Ac1 0.033 0.250 0.201 (multiplicity 4)
Ac2 0.163 0.750 0.420 (multiplicity 4)
Mn1 0.177 0.750 0.062 (multiplicity 4)
O1 0.000 0.000 0.000 (multiplicity 4)
O2 0.042 0.750 0.204 (multiplicity 4)
O3 0.161 0.000 0.610 (multiplicity 8)
O4 0.215 0.250 0.392 (multiplicity 4)